{"formula": "Ca3Tl2Ag4Au2", "functional": "GGA-PBE", "state": "relaxed", "lattice_angstrom": [[4.9023, 0.0000, 0.0000], [-2.4512, 4.2455, 0.0000], [0.0000, 0.0000, 12.8797]], "species": ["Ca", "Ca", "Ca", "Tl", "Tl", "Ag", "Ag", "Ag", "Ag", "Au", "Au"], "fractional_positions": [[0.0000, 0.0000, 0.0000], [0.0000, 0.0000, 0.2627], [0.0000, 0.0000, 0.7373], [0.3333, 0.6667, 0.5815], [0.6667, 0.3333, 0.4185], [0.3333, 0.6667, 0.3568], [0.3333, 0.6667, 0.8824], [0.6667, 0.3333, 0.1176], [0.6667, 0.3333, 0.6432], [0.3333, 0.6667, 0.1321], [0.6667, 0.3333, 0.8679]], "formation_enthalpy_0k_mev_per_atom": -310, "sg": "No. 164", "dft_energy_ev_per_cell": -32.1, "n_ef_per_ev_cell": 4.6}


{"formula": "CaTlAgAu", "functional": "GGA-PBE", "state": "relaxed", "lattice_angstrom": [[0.0000, 3.5708, 3.5708], [3.5708, 0.0000, 3.5708], [3.5708, 3.5708, 0.0000]], "species": ["Ca", "Tl", "Ag", "Au"], "fractional_positions": [[0.0000, 0.0000, 0.0000], [0.5000, 0.5000, 0.5000], [0.2500, 0.2500, 0.2500], [0.7500, 0.7500, 0.7500]], "formation_enthalpy_0k_mev_per_atom": -349, "sg": "No. 216", "dft_energy_ev_per_cell": -11.9, "n_ef_per_ev_cell": 1.7}


{"formula": "CaYAgAu", "functional": "GGA-PBE", "state": "relaxed", "lattice_angstrom": [[0.0000, 3.6301, 3.6301], [3.6301, 0.0000, 3.6301], [3.6301, 3.6301, 0.0000]], "species": ["Ca", "Y", "Ag", "Au"], "fractional_positions": [[0.0000, 0.0000, 0.0000], [0.5000, 0.5000, 0.5000], [0.2500, 0.2500, 0.2500], [0.7500, 0.7500, 0.7500]], "formation_enthalpy_0k_mev_per_atom": -566, "sg": "No. 216", "dft_energy_ev_per_cell": -16.9, "n_ef_per_ev_cell": 3.5}


{"formula": "Ca2ZnAgAu2", "functional": "GGA-PBE", "state": "relaxed", "lattice_angstrom": [[-3.0425, 7.4964, 2.9987], [3.0425, -7.4964, 2.9987], [3.0425, 7.4964, -2.9987]], "species": ["Ca", "Ca", "Ca", "Ca", "Zn", "Zn", "Ag", "Ag", "Au", "Au", "Au", "Au"], "fractional_positions": [[0.1699, 0.2306, 0.4005], [0.3301, 0.7306, 0.0608], [0.6699, 0.2694, 0.9392], [0.8301, 0.7694, 0.5995], [0.2500, 0.7500, 0.5000], [0.7500, 0.2500, 0.5000], [0.2500, 0.2500, 0.0000], [0.7500, 0.7500, 0.0000], [0.1232, 0.7227, 0.8459], [0.3768, 0.2227, 0.5995], [0.6232, 0.7773, 0.4005], [0.8768, 0.2773, 0.1541]], "formation_enthalpy_0k_mev_per_atom": -551, "sg": "No. 72", "dft_energy_ev_per_cell": -36.0, "n_ef_per_ev_cell": 5.8}


{"formula": "Ca4ZnAg2Au", "functional": "GGA-PBE", "state": "relaxed", "lattice_angstrom": [[2.5985, 1.5002, 8.5429], [-2.5985, 1.5002, 8.5429], [0.0000, -3.0005, 8.5429]], "species": ["Ca", "Ca", "Ca", "Ca", "Zn", "Ag", "Ag", "Au"], "fractional_positions": [[0.1231, 0.1231, 0.1231], [0.3732, 0.3732, 0.3732], [0.6268, 0.6268, 0.6268], [0.8769, 0.8769, 0.8769], [0.5000, 0.5000, 0.5000], [0.2469, 0.2469, 0.2469], [0.7531, 0.7531, 0.7531], [0.0000, 0.0000, 0.0000]], "formation_enthalpy_0k_mev_per_atom": -409, "sg": "No. 166", "dft_energy_ev_per_cell": -21.5, "n_ef_per_ev_cell": 6.1}


{"formula": "CaZn3AgAu", "functional": "GGA-PBE", "state": "relaxed", "lattice_angstrom": [[4.2647, -5.7023, 0.0000], [4.2647, 5.7023, 0.0000], [0.0000, 0.0000, 5.4653]], "species": ["Ca", "Ca", "Zn", "Zn", "Zn", "Zn", "Zn", "Zn", "Ag", "Ag", "Au", "Au"], "fractional_positions": [[0.1892, 0.8108, 0.7500], [0.8108, 0.1892, 0.2500], [0.2411, 0.2411, 0.0000], [0.2411, 0.2411, 0.5000], [0.3226, 0.6774, 0.2500], [0.6774, 0.3226, 0.7500], [0.7589, 0.7589, 0.0000], [0.7589, 0.7589, 0.5000], [0.4473, 0.5527, 0.7500], [0.5527, 0.4473, 0.2500], [0.0914, 0.9086, 0.2500], [0.9086, 0.0914, 0.7500]], "formation_enthalpy_0k_mev_per_atom": -151, "sg": "No. 63", "dft_energy_ev_per_cell": -25.7, "n_ef_per_ev_cell": 3.9}


{"formula": "CaZn2AgAu5", "functional": "GGA-PBE", "state": "relaxed", "lattice_angstrom": [[4.7995, 0.0000, 0.0000], [0.0000, 4.7995, 0.0000], [0.0000, 0.0000, 7.8151]], "species": ["Ca", "Zn", "Zn", "Ag", "Au", "Au", "Au", "Au", "Au"], "fractional_positions": [[0.0000, 0.0000, 0.0000], [0.5000, 0.5000, 0.3476], [0.5000, 0.5000, 0.6524], [0.0000, 0.0000, 0.5000], [0.0000, 0.5000, 0.2447], [0.0000, 0.5000, 0.7553], [0.5000, 0.0000, 0.2447], [0.5000, 0.0000, 0.7553], [0.5000, 0.5000, 0.0000]], "formation_enthalpy_0k_mev_per_atom": -196, "sg": "No. 123", "dft_energy_ev_per_cell": -25.6, "n_ef_per_ev_cell": 2.1}


{"formula": "CaZn4Ag2Au", "functional": "GGA-PBE", "state": "relaxed", "lattice_angstrom": [[2.2248, 1.2845, 8.8862], [-2.2248, 1.2845, 8.8862], [0.0000, -2.5690, 8.8862]], "species": ["Ca", "Zn", "Zn", "Zn", "Zn", "Ag", "Ag", "Au"], "fractional_positions": [[0.0000, 0.0000, 0.0000], [0.1303, 0.1303, 0.1303], [0.3994, 0.3994, 0.3994], [0.6006, 0.6006, 0.6006], [0.8697, 0.8697, 0.8697], [0.2469, 0.2469, 0.2469], [0.7531, 0.7531, 0.7531], [0.5000, 0.5000, 0.5000]], "formation_enthalpy_0k_mev_per_atom": -152, "sg": "No. 166", "dft_energy_ev_per_cell": -17.3, "n_ef_per_ev_cell": 2.8}


{"formula": "CaZn2Ag2Au", "functional": "GGA-PBE", "state": "relaxed", "lattice_angstrom": [[4.8814, 0.0000, 0.0000], [0.0000, 4.8814, 0.0000], [0.0000, 0.0000, 5.7626]], "species": ["Ca", "Zn", "Zn", "Ag", "Ag", "Au"], "fractional_positions": [[0.0000, 0.0000, 0.0000], [0.0000, 0.5000, 0.5000], [0.5000, 0.0000, 0.5000], [0.5000, 0.5000, 0.2410], [0.5000, 0.5000, 0.7590], [0.0000, 0.0000, 0.5000]], "formation_enthalpy_0k_mev_per_atom": -116, "sg": "No. 123", "dft_energy_ev_per_cell": -14.2, "n_ef_per_ev_cell": 1.3}


{"formula": "CaZn2Ag5Au", "functional": "GGA-PBE", "state": "relaxed", "lattice_angstrom": [[4.9436, 0.0000, 0.0000], [0.0000, 4.9436, 0.0000], [0.0000, 0.0000, 7.3944]], "species": ["Ca", "Zn", "Zn", "Ag", "Ag", "Ag", "Ag", "Ag", "Au"], "fractional_positions": [[0.0000, 0.0000, 0.0000], [0.5000, 0.5000, 0.3410], [0.5000, 0.5000, 0.6590], [0.0000, 0.5000, 0.2722], [0.0000, 0.5000, 0.7278], [0.5000, 0.0000, 0.2722], [0.5000, 0.0000, 0.7278], [0.5000, 0.5000, 0.0000], [0.0000, 0.0000, 0.5000]], "formation_enthalpy_0k_mev_per_atom": 23, "sg": "No. 123", "dft_energy_ev_per_cell": -21.9, "n_ef_per_ev_cell": 2.8}


{"formula": "CaZn4AgAu2", "functional": "GGA-PBE", "state": "relaxed", "lattice_angstrom": [[2.2110, 1.2765, 8.9478], [-2.2110, 1.2765, 8.9478], [0.0000, -2.5531, 8.9478]], "species": ["Ca", "Zn", "Zn", "Zn", "Zn", "Ag", "Au", "Au"], "fractional_positions": [[0.0000, 0.0000, 0.0000], [0.1256, 0.1256, 0.1256], [0.4009, 0.4009, 0.4009], [0.5991, 0.5991, 0.5991], [0.8744, 0.8744, 0.8744], [0.5000, 0.5000, 0.5000], [0.2505, 0.2505, 0.2505], [0.7495, 0.7495, 0.7495]], "formation_enthalpy_0k_mev_per_atom": -256, "sg": "No. 166", "dft_energy_ev_per_cell": -18.6, "n_ef_per_ev_cell": 1.9}


{"formula": "CaZn2AgAu4", "functional": "GGA-PBE", "state": "relaxed", "lattice_angstrom": [[2.3876, 1.3785, 7.5395], [-2.3876, 1.3785, 7.5395], [0.0000, -2.7570, 7.5395]], "species": ["Ca", "Zn", "Zn", "Ag", "Au", "Au", "Au", "Au"], "fractional_positions": [[0.0000, 0.0000, 0.0000], [0.2531, 0.2531, 0.2531], [0.7469, 0.7469, 0.7469], [0.5000, 0.5000, 0.5000], [0.1317, 0.1317, 0.1317], [0.3777, 0.3777, 0.3777], [0.6223, 0.6223, 0.6223], [0.8683, 0.8683, 0.8683]], "formation_enthalpy_0k_mev_per_atom": -282, "sg": "No. 166", "dft_energy_ev_per_cell": -22.8, "n_ef_per_ev_cell": 2.3}


Please write out number 4 again, unchanged.
{"formula": "Ca2ZnAgAu2", "functional": "GGA-PBE", "state": "relaxed", "lattice_angstrom": [[-3.0425, 7.4964, 2.9987], [3.0425, -7.4964, 2.9987], [3.0425, 7.4964, -2.9987]], "species": ["Ca", "Ca", "Ca", "Ca", "Zn", "Zn", "Ag", "Ag", "Au", "Au", "Au", "Au"], "fractional_positions": [[0.1699, 0.2306, 0.4005], [0.3301, 0.7306, 0.0608], [0.6699, 0.2694, 0.9392], [0.8301, 0.7694, 0.5995], [0.2500, 0.7500, 0.5000], [0.7500, 0.2500, 0.5000], [0.2500, 0.2500, 0.0000], [0.7500, 0.7500, 0.0000], [0.1232, 0.7227, 0.8459], [0.3768, 0.2227, 0.5995], [0.6232, 0.7773, 0.4005], [0.8768, 0.2773, 0.1541]], "formation_enthalpy_0k_mev_per_atom": -551, "sg": "No. 72", "dft_energy_ev_per_cell": -36.0, "n_ef_per_ev_cell": 5.8}


Number 7 is which compound? CaZn2AgAu5


Number 9 is which compound? CaZn2Ag2Au